DFT (PBE) results for a relaxed structure of MgTl2Mo.

abc: 3.1128 3.1128 9.3692
angles: 90.00 90.00 107.37
With the nearest neighbours (Å) after each atom.
Fractional positions:
Mg1 0.5000 0.5000 0.2500  4 Tl 3.05, 4 Mg 3.11
Mo1 0.5000 0.5000 0.7500  4 Tl 2.91, 4 Mo 3.11
Tl1 0.0000 0.0000 0.9903  2 Mo 2.91, 2 Mg 3.05, 4 Tl 3.11
Tl2 0.0000 0.0000 0.5097  2 Mo 2.91, 2 Mg 3.05, 4 Tl 3.11

Summary:
Its crystal system is orthorhombic. The formation energy from the elements is 543 meV/atom. The value obtained for the energy above the lowest structure with this stoichiometry is 82.4 meV per atom. The value obtained for the total energy is -3.747 eV/atom.